NdB2WO8, relaxed, DFT PBE with a Hubbard U; space group = No. 164; VASP energy = -7.66 eV/atom
1.0
4.961 0.000 0.000
-2.481 4.297 0.000
0.000 0.000 6.641
Nd B W O
1 2 1 8
Direct
0.000 0.000 0.000 Nd
0.333 0.667 0.242 B
0.667 0.333 0.758 B
0.000 0.000 0.500 W
0.173 0.346 0.317 O
0.173 0.827 0.317 O
0.333 0.667 0.023 O
0.346 0.173 0.683 O
0.654 0.827 0.317 O
0.667 0.333 0.977 O
0.827 0.173 0.683 O
0.827 0.654 0.683 O